[1]
RbCa2Ag: relaxed, GGA-PBE.

a = 4.3005 Å, b = 4.3005 Å, c = 35.3110 Å
α = 90.00°, β = 90.00°, γ = 120.00°
With the nearest neighbours (Å) after each atom.
Fractional positions:
Rb: 0.0000 0.0000 0.0000  2 Ca 4.17, 6 Rb 4.30
Rb: 0.3333 0.6667 0.6667  2 Ca 4.17, 6 Rb 4.30
Rb: 0.6667 0.3333 0.3333  2 Ca 4.17, 6 Rb 4.30
Ca: 0.0000 0.0000 0.1180  3 Ag 3.02
Ca: 0.0000 0.0000 0.8820  3 Ag 3.02
Ca: 0.3333 0.6667 0.5486  3 Ag 3.02
Ca: 0.3333 0.6667 0.7847  3 Ag 3.02
Ca: 0.6667 0.3333 0.2153  3 Ag 3.02
Ca: 0.6667 0.3333 0.4514  3 Ag 3.02
Ag: 0.0000 0.0000 0.5000  6 Ca 3.02
Ag: 0.3333 0.6667 0.1667  6 Ca 3.02
Ag: 0.6667 0.3333 0.8333  6 Ca 3.02

Properties
D(E_F)	8.08	states/eV per cell
symmetry	R-3m (166)
ΔE to the lowest computed polymorph	66	meV per atom

[2]
Rb3CaAg: relaxed, GGA-PBE.

a = 6.9094 Å, b = 6.9094 Å, c = 6.9094 Å
α = 90.00°, β = 90.00°, γ = 90.00°
With the nearest neighbours (Å) after each atom.
Fractional positions:
Rb: 0.0000 0.0000 0.5000  2 Ag 3.45
Rb: 0.0000 0.5000 0.0000  2 Ag 3.45
Rb: 0.5000 0.0000 0.0000  2 Ag 3.45
Ca: 0.5000 0.5000 0.5000  12 Rb 4.89
Ag: 0.0000 0.0000 0.0000  6 Rb 3.45

Properties
D(E_F)	7.42	states/eV per cell
symmetry	Pm-3m (221)
ΔE to the lowest computed polymorph	0	meV per atom